A relaxed ReNiN2F crystal, computed with PBE with a Hubbard U.

The offset from the most stable computed form comes out at 1125 meV/atom.

The structure belongs to space group P4/mmm (No. 123); the cell edges are 3.799, 3.799 and 3.425 Å and the angles 90.00°, 90.00° and 90.00°. The distinct sites, in fractional coordinates, are Re at (0.000, 0.000, 0.000), Ni at (0.500, 0.500, 0.500), N at (0.000, 0.500, 0.500) and F at (0.500, 0.500, 0.000).